(1)
The following is a DFT calculation (PBE-GGA) of a relaxed ThHPtRh2 crystal.

As for the space group: No. 123. The calculation puts the raw total energy at -35.2 eV/f.u. The calculation puts the density of states at the Fermi level at 3.612 states/eV/f.u.

Cell lengths 4.2669, 4.2669, 4.0794 Å; angles 90.00, 90.00, 90.00 degrees
Fractional coordinates of all 5 atoms:
Th (0.0000, 0.0000, 0.0000)
H (0.5000, 0.5000, 0.5000)
Pt (0.5000, 0.5000, 0.0000)
Rh (0.0000, 0.5000, 0.5000)
Rh (0.5000, 0.0000, 0.5000)

---

(2)
The following is a DFT calculation (PBE-GGA) of a relaxed ReMo2WBr crystal.

As for the space group: No. 123. The calculation puts the raw total energy at -38.6 eV/f.u. For the uncorrected formation energy, the calculation gives 2.02 eV per atom. The calculation puts the density of states at the Fermi level at 7.674 states/eV/f.u.

Cell lengths 4.8273, 4.8273, 4.8167 Å; angles 90.00, 90.00, 90.00 degrees
Fractional coordinates of all 5 atoms:
Re (0.0000, 0.0000, 0.0000)
Mo (0.0000, 0.5000, 0.0000)
Mo (0.5000, 0.0000, 0.0000)
W (0.0000, 0.0000, 0.5000)
Br (0.5000, 0.5000, 0.5000)

---

(3)
The following is a DFT calculation (PBE-GGA) of a relaxed SrMn2N2 crystal.

As for the space group: No. 164. The calculation puts the raw total energy at -38.2 eV/f.u. For the uncorrected formation energy, the calculation gives -0.30 eV per atom. The calculation puts the density of states at the Fermi level at 1.870 states/eV/f.u.

Cell lengths 3.4155, 3.4155, 6.1370 Å; angles 90.00, 90.00, 120.00 degrees
Fractional coordinates of all 5 atoms:
Sr (0.0000, 0.0000, 0.0000)
Mn (0.3333, 0.6667, 0.4071)
Mn (0.6667, 0.3333, 0.5929)
N (0.3333, 0.6667, 0.7070)
N (0.6667, 0.3333, 0.2930)

---

- Which formula does entry 2 have?
  ReMo2WBr

---

- Look up the raw total energy of the third one.
  -38.2 eV/f.u.

---

- Which value of raw total energy does entry 2 give?
  -38.6 eV/f.u.